No. 1
First-principles (PBE) data for SrNd2SmS4 after structural relaxation, as listed in Alexandria via LeMat-Bulk.

a b c (Å): 7.0990 4.0712 7.1096
angles (deg): 90.00 109.10 90.00
With the nearest neighbours (Å) after each atom.
Sites, in units of the cell vectors:
Sr (0.0000, 0.0000, 0.0000)  6 S 2.91-2.92
Nd (0.0000, 0.5000, 0.5000)  6 S 2.92
Nd (0.5000, 0.0000, 0.5000)  6 S 2.87-2.88
Sm (0.5000, 0.5000, 0.0000)  6 S 2.87
S (0.2553, 0.0000, 0.7523)  2 Sm 2.87, 3 Nd 2.88-2.92, 1 Sr 2.91
S (0.2566, 0.5000, 0.2527)  3 Nd 2.87-2.92, 1 Sm 2.87, 2 Sr 2.92
S (0.7434, 0.5000, 0.7473)  3 Nd 2.87-2.92, 1 Sm 2.87, 2 Sr 2.92
S (0.7447, 0.0000, 0.2477)  2 Sm 2.87, 3 Nd 2.88-2.92, 1 Sr 2.91

Values from the calculation:
- SG = P2/m
- raw formation energy (eV/atom) = -2.02

No. 2
First-principles (PBE) data for HoSiBRu2 after structural relaxation, as listed in Alexandria via LeMat-Bulk.

a b c (Å): 5.9013 5.9013 7.1595
angles (deg): 90.00 90.00 141.38
With the nearest neighbours (Å) after each atom.
Sites, in units of the cell vectors:
Ho (0.0495, 0.9505, 0.7500)  4 B 2.70
Ho (0.9505, 0.0495, 0.2500)  4 B 2.70
Si (0.2291, 0.7709, 0.2500)  6 Ru 2.47-2.48
Si (0.7709, 0.2291, 0.7500)  6 Ru 2.47-2.48
B (0.5000, 0.5000, 0.0000)  2 Ru 1.94
B (0.5000, 0.5000, 0.5000)  2 Ru 1.94
Ru (0.3300, 0.6700, 0.5595)  1 B 1.94
Ru (0.3300, 0.6700, 0.9405)  1 B 1.94
Ru (0.6700, 0.3300, 0.0595)  1 B 1.94
Ru (0.6700, 0.3300, 0.4405)  1 B 1.94

Values from the calculation:
- SG = Cmcm
- raw formation energy (eV/atom) = -0.63

No. 3
First-principles (PBE) data for Ag5PdAu3 after structural relaxation, as listed in Alexandria via LeMat-Bulk.

a b c (Å): 5.8402 5.8402 11.0704
angles (deg): 95.71 95.71 84.70
With the nearest neighbours (Å) after each atom.
Sites, in units of the cell vectors:
Ag (0.0389, 0.0389, 0.2993)  3 Ag 2.66-2.89, 3 Au 2.71-2.89
Ag (0.0882, 0.5295, 0.3256)  3 Au 2.71-2.93, 1 Pd 2.88, 2 Ag 2.89-3.00
Ag (0.1707, 0.8293, 0.0000)  3 Au 2.59-2.81, 3 Ag 2.69-2.82
Ag (0.2116, 0.2116, 0.8692)  3 Ag 2.66-2.82, 1 Pd 2.67, 2 Au 2.71-2.86
Ag (0.4705, 0.9118, 0.6744)  3 Au 2.71-2.93, 1 Pd 2.88, 2 Ag 2.89-3.00
Ag (0.5295, 0.0882, 0.3256)  3 Au 2.71-2.93, 1 Pd 2.88, 2 Ag 2.89-3.00
Ag (0.7884, 0.7884, 0.1308)  3 Ag 2.66-2.82, 1 Pd 2.67, 2 Au 2.71-2.86
Ag (0.8293, 0.1707, 0.0000)  3 Au 2.59-2.81, 3 Ag 2.69-2.82
Ag (0.9118, 0.4705, 0.6744)  3 Au 2.71-2.93, 1 Pd 2.88, 2 Ag 2.89-3.00
Ag (0.9611, 0.9611, 0.7007)  3 Ag 2.66-2.89, 3 Au 2.71-2.89
Pd (0.4468, 0.4468, 0.7355)  3 Ag 2.67-2.88, 4 Au 2.71-2.95
Pd (0.5532, 0.5532, 0.2645)  3 Ag 2.67-2.88, 4 Au 2.71-2.95
Au (0.1887, 0.1887, 0.5310)  4 Ag 2.71-2.89, 1 Au 2.75, 1 Pd 2.95
Au (0.2554, 0.2554, 0.1300)  1 Au 2.71, 6 Ag 2.76-2.86, 1 Pd 2.79
Au (0.5000, 0.5000, 0.0000)  4 Ag 2.59-2.71, 2 Au 2.71
Au (0.5000, 0.5000, 0.5000)  2 Pd 2.71, 2 Au 2.75, 4 Ag 2.93
Au (0.7446, 0.7446, 0.8700)  1 Au 2.71, 6 Ag 2.76-2.86, 1 Pd 2.79
Au (0.8113, 0.8113, 0.4690)  4 Ag 2.71-2.89, 1 Au 2.75, 1 Pd 2.95

Values from the calculation:
- SG = C2/m
- E_form (eV/atom) = 0.199

Number 1: DFT total energy -6.080 eV/atom. Number 2: DFT total energy -7.674 eV/atom. Number 3: DFT total energy -3.055 eV/atom.